# 1
Compound: MnSN
Source: Alexandria via LeMat-Bulk
Functional: PBE
Structure: optimized geometry

Properties
E   -7.104 eV/atom
E above lowest polymorph   372.4 meV per atom
Formation energy without anion corrections   0.31 eV/f.u.
Theoretical density   4054 kg/m³
DOS(E_F)   1.9 states/eV/f.u.

The structure in POSCAR format:
```
MnSN
1.0
-1.186 -0.011 2.621
-0.662 -2.069 -1.887
13.146 -9.596 5.911
Mn S N
3 3 3
direct
0.000 0.000 0.812
0.333 0.667 0.478
0.667 0.333 0.145
0.000 0.000 0.242
0.333 0.667 0.909
0.667 0.333 0.575
0.000 0.000 0.097
0.333 0.667 0.764
0.667 0.333 0.430
```

=====

# 2
Compound: Mn2SN
Source: Alexandria via LeMat-Bulk
Functional: PBE
Structure: optimized geometry

Properties
E   -7.321 eV/atom
E above lowest polymorph   634.8 meV per atom
Formation energy without anion corrections   1.51 eV/f.u.
Theoretical density   6809 kg/m³
DOS(E_F)   4.0 states/eV/f.u.

The structure in POSCAR format:
```
Mn2SN
1.0
1.355 -3.506 -0.349
-0.439 -2.482 2.810
-2.372 -2.909 -0.404
S Mn N
1 2 1
direct
0.500 0.500 0.500
0.250 0.250 0.250
0.750 0.750 0.750
0.000 0.000 0.000
```

=====

# 3
Compound: MnSN2
Source: Alexandria via LeMat-Bulk
Functional: PBE
Structure: optimized geometry

Properties
E   -7.084 eV/atom
E above lowest polymorph   0.0 meV per atom
Formation energy without anion corrections   1.61 eV/f.u.
Theoretical density   4496 kg/m³
DOS(E_F)   2.7 states/eV/f.u.

The structure in POSCAR format:
```
MnSN2
1.0
-0.631 -5.700 -1.585
1.330 -5.769 0.595
-1.535 -5.621 1.204
S Mn N
1 1 2
direct
0.000 0.000 0.000
0.500 0.500 0.500
0.894 0.894 0.894
0.106 0.106 0.106
```

=====

# 4
Compound: MnS2N
Source: Alexandria via LeMat-Bulk
Functional: PBE
Structure: optimized geometry

Properties
E   -6.094 eV/atom
E above lowest polymorph   397.2 meV per atom
Formation energy without anion corrections   1.38 eV/f.u.
Theoretical density   3731 kg/m³
DOS(E_F)   1.8 states/eV/f.u.

The structure in POSCAR format:
```
MnS2N
1.0
3.063 0.000 -0.307
0.000 2.636 0.000
-0.073 0.000 14.681
Mn S N
2 4 2
direct
0.348 0.250 0.697
0.652 0.750 0.303
0.190 0.250 0.380
0.810 0.750 0.620
0.908 0.250 0.817
0.092 0.750 0.183
0.057 0.250 0.114
0.943 0.750 0.886
```

=====

# 5
Compound: MnS2N
Source: Alexandria via LeMat-Bulk
Functional: PBE
Structure: optimized geometry

Properties
E   -5.116 eV/atom
E above lowest polymorph   1374.7 meV per atom
Formation energy without anion corrections   5.29 eV/f.u.
Theoretical density   4891 kg/m³
DOS(E_F)   4.8 states/eV/f.u.

The structure in POSCAR format:
```
MnS2N
1.0
2.351 -3.217 0.325
-1.261 -3.543 -1.356
1.664 -1.598 -3.265
S Mn N
2 1 1
direct
0.250 0.250 0.250
0.750 0.750 0.750
0.500 0.500 0.500
0.000 0.000 0.000
```

=====

# 6
Compound: MnSN
Source: Alexandria via LeMat-Bulk
Functional: PBE
Structure: optimized geometry

Properties
E   -7.461 eV/atom
E above lowest polymorph   15.7 meV per atom
Formation energy without anion corrections   -0.76 eV/f.u.
Theoretical density   2782 kg/m³
DOS(E_F)   1.1 states/eV/f.u.

The structure in POSCAR format:
```
MnSN
1.0
-0.004 1.086 3.412
-3.066 -1.028 -1.556
2.506 -10.063 3.205
S N Mn
2 2 2
direct
0.850 0.701 0.642
0.150 0.299 0.358
0.465 0.931 0.046
0.535 0.069 0.954
0.827 0.654 0.445
0.173 0.346 0.555
```

=====

# 7
Compound: MnSN
Source: Alexandria via LeMat-Bulk
Functional: PBE
Structure: optimized geometry

Properties
E   -7.080 eV/atom
E above lowest polymorph   396.1 meV per atom
Formation energy without anion corrections   0.38 eV/f.u.
Theoretical density   4645 kg/m³
DOS(E_F)   1.2 states/eV/f.u.

The structure in POSCAR format:
```
MnSN
1.0
4.244 0.000 0.007
0.000 2.816 0.000
-2.197 0.000 6.039
Mn S N
2 2 2
direct
0.836 0.000 0.438
0.836 0.500 0.938
0.114 0.000 0.788
0.114 0.500 0.288
0.521 0.000 0.884
0.521 0.500 0.384
```

=====

# 8
Compound: MnSN
Source: Alexandria via LeMat-Bulk
Functional: PBE
Structure: optimized geometry

Properties
E   -7.124 eV/atom
E above lowest polymorph   352.7 meV per atom
Formation energy without anion corrections   0.25 eV/f.u.
Theoretical density   3926 kg/m³
DOS(E_F)   1.7 states/eV/f.u.

The structure in POSCAR format:
```
MnSN
1.0
2.591 0.000 0.000
0.000 2.593 0.000
-1.877 0.000 12.721
Mn S N
2 2 2
direct
0.135 0.000 0.507
0.135 0.500 0.007
0.258 0.000 0.678
0.258 0.500 0.178
0.605 0.000 0.967
0.605 0.500 0.467
```

=====

# 9
Compound: MnS2N
Source: Alexandria via LeMat-Bulk
Functional: PBE
Structure: optimized geometry

Properties
E   -6.426 eV/atom
E above lowest polymorph   64.9 meV per atom
Formation energy without anion corrections   0.05 eV/f.u.
Theoretical density   3110 kg/m³
DOS(E_F)   2.1 states/eV/f.u.

The structure in POSCAR format:
```
MnS2N
1.0
-2.055 3.043 5.386
-1.866 -2.235 0.551
5.793 -4.240 2.417
Mn S N
2 4 2
direct
0.907 0.000 0.971
0.907 0.500 0.471
0.628 0.000 0.697
0.628 0.500 0.197
0.104 0.000 0.346
0.104 0.500 0.846
0.750 0.000 0.542
0.750 0.500 0.042
```

=====

# 10
Compound: MnS2N
Source: Alexandria via LeMat-Bulk
Functional: PBE
Structure: optimized geometry

Properties
E   -6.278 eV/atom
E above lowest polymorph   212.8 meV per atom
Formation energy without anion corrections   0.64 eV/f.u.
Theoretical density   3490 kg/m³
DOS(E_F)   2.5 states/eV/f.u.

The structure in POSCAR format:
```
MnS2N
1.0
-2.342 1.164 -0.255
-2.214 -0.930 2.547
1.595 6.221 3.858
Mn S N
1 2 1
direct
0.488 0.738 0.860
0.773 0.364 0.590
0.379 0.745 0.145
0.807 0.148 0.794
```

=====

# 11
Compound: MnSN
Source: Alexandria via LeMat-Bulk
Functional: PBE
Structure: optimized geometry

Properties
E   -7.105 eV/atom
E above lowest polymorph   371.0 meV per atom
Formation energy without anion corrections   0.31 eV/f.u.
Theoretical density   3916 kg/m³
DOS(E_F)   1.8 states/eV/f.u.

The structure in POSCAR format:
```
MnSN
1.0
6.183 0.000 0.004
0.000 2.877 0.000
-1.300 0.000 4.814
Mn S N
2 2 2
direct
0.092 0.000 0.963
0.092 0.500 0.463
0.374 0.000 0.721
0.374 0.500 0.221
0.954 0.000 0.585
0.954 0.500 0.085
```

=====

# 12
Compound: MnS2N
Source: Alexandria via LeMat-Bulk
Functional: PBE
Structure: optimized geometry

Properties
E   -6.491 eV/atom
E above lowest polymorph   0.0 meV per atom
Formation energy without anion corrections   -0.21 eV/f.u.
Theoretical density   3469 kg/m³
DOS(E_F)   2.5 states/eV/f.u.

The structure in POSCAR format:
```
MnS2N
1.0
3.095 0.032 -0.004
1.577 2.682 -0.122
0.135 1.136 7.669
Mn S N
1 2 1
direct
0.953 0.688 0.079
0.318 0.917 0.425
0.600 0.411 0.890
0.296 0.980 0.217
```

=====

# 13
Compound: MnS2N
Source: Alexandria via LeMat-Bulk
Functional: PBE
Structure: optimized geometry

Properties
E   -5.101 eV/atom
E above lowest polymorph   1389.3 meV per atom
Formation energy without anion corrections   5.34 eV/f.u.
Theoretical density   4168 kg/m³
DOS(E_F)   3.9 states/eV/f.u.

The structure in POSCAR format:
```
MnS2N
1.0
6.604 2.370 0.387
6.997 -0.600 0.265
6.584 0.963 -2.260
S Mn N
2 1 1
direct
0.899 0.899 0.899
0.101 0.101 0.101
0.000 0.000 0.000
0.500 0.500 0.500
```

=====

# 14
Compound: MnSN
Source: Alexandria via LeMat-Bulk
Functional: PBE
Structure: optimized geometry

Properties
E   -7.247 eV/atom
E above lowest polymorph   229.2 meV per atom
Formation energy without anion corrections   -0.12 eV/f.u.
Theoretical density   3620 kg/m³
DOS(E_F)   1.7 states/eV/f.u.

The structure in POSCAR format:
```
MnSN
1.0
2.990 0.002 -0.005
1.493 2.591 -0.015
0.008 0.173 5.982
Mn S N
1 1 1
direct
0.192 0.092 0.085
0.867 0.743 0.359
0.523 0.431 0.976
```

=====

# 15
Compound: MnSN
Source: Alexandria via LeMat-Bulk
Functional: PBE
Structure: optimized geometry

Properties
E   -7.247 eV/atom
E above lowest polymorph   229.1 meV per atom
Formation energy without anion corrections   -0.12 eV/f.u.
Theoretical density   3573 kg/m³
DOS(E_F)   1.6 states/eV/f.u.

The structure in POSCAR format:
```
MnSN
1.0
-1.424 -2.598 0.408
-0.670 -1.723 -2.351
5.249 -3.222 -0.667
Mn S N
1 1 1
direct
0.009 0.063 0.914
0.295 0.529 0.644
0.694 0.677 0.022
```

=====

# 16
Compound: Mn2SN
Source: Alexandria via LeMat-Bulk
Functional: PBE
Structure: optimized geometry

Properties
E   -7.924 eV/atom
E above lowest polymorph   31.3 meV per atom
Formation energy without anion corrections   -0.91 eV/f.u.
Theoretical density   5466 kg/m³
DOS(E_F)   3.0 states/eV/f.u.

The structure in POSCAR format:
```
Mn2SN
1.0
3.168 0.000 0.000
1.584 2.743 0.000
1.584 0.914 5.452
S Mn N
1 2 1
direct
0.500 0.500 0.500
0.268 0.268 0.195
0.732 0.732 0.805
0.000 0.000 0.000
```

=====

# 17
Compound: MnSN
Source: Alexandria via LeMat-Bulk
Functional: PBE
Structure: optimized geometry

Properties
E   -7.477 eV/atom
E above lowest polymorph   0.0 meV per atom
Formation energy without anion corrections   -0.81 eV/f.u.
Theoretical density   2939 kg/m³
DOS(E_F)   1.1 states/eV/f.u.

The structure in POSCAR format:
```
MnSN
1.0
-3.067 -0.661 -0.496
-0.480 -0.125 3.137
-3.700 10.770 1.044
Mn S N
2 2 2
direct
0.775 0.775 0.932
0.225 0.225 0.068
0.301 0.301 0.861
0.699 0.699 0.139
0.980 0.980 0.549
0.020 0.020 0.451
```

=====

# 18
Compound: MnS2N
Source: Alexandria via LeMat-Bulk
Functional: PBE
Structure: optimized geometry

Properties
E   -6.191 eV/atom
E above lowest polymorph   299.4 meV per atom
Formation energy without anion corrections   0.98 eV/f.u.
Theoretical density   3992 kg/m³
DOS(E_F)   0.9 states/eV/f.u.

The structure in POSCAR format:
```
MnS2N
1.0
5.003 2.928 1.303
5.905 -0.249 0.610
5.291 1.917 -1.904
S Mn N
2 1 1
direct
0.907 0.907 0.907
0.093 0.093 0.093
0.500 0.500 0.500
0.000 0.000 0.000
```

=====

# 19
Compound: Mn2SN
Source: Alexandria via LeMat-Bulk
Functional: PBE
Structure: optimized geometry

Properties
E   -7.956 eV/atom
E above lowest polymorph   0.0 meV per atom
Formation energy without anion corrections   -1.03 eV/f.u.
Theoretical density   5214 kg/m³
DOS(E_F)   4.8 states/eV/f.u.

The structure in POSCAR format:
```
Mn2SN
1.0
4.621 0.000 0.000
0.000 4.621 0.000
2.310 2.310 4.652
S Mn N
2 4 2
direct
0.000 0.000 0.000
0.750 0.250 0.500
0.561 0.125 0.250
0.189 0.625 0.250
0.375 0.439 0.750
0.875 0.811 0.750
0.500 0.500 0.000
0.250 0.750 0.500
```

=====

# 20
Compound: MnS2N
Source: Alexandria via LeMat-Bulk
Functional: PBE
Structure: optimized geometry

Properties
E   -5.685 eV/atom
E above lowest polymorph   805.6 meV per atom
Formation energy without anion corrections   3.01 eV/f.u.
Theoretical density   3750 kg/m³
DOS(E_F)   1.1 states/eV/f.u.

The structure in POSCAR format:
```
MnS2N
1.0
-0.662 4.302 2.239
-4.689 -1.145 0.814
-1.431 -0.466 5.823
S Mn N
4 2 2
direct
0.610 0.125 0.250
0.140 0.625 0.250
0.375 0.390 0.750
0.875 0.860 0.750
0.000 0.000 0.000
0.750 0.250 0.500
0.500 0.500 0.000
0.250 0.750 0.500
```

=====

# 21
Compound: MnSN2
Source: Alexandria via LeMat-Bulk
Functional: PBE
Structure: optimized geometry

Properties
E   -6.687 eV/atom
E above lowest polymorph   397.3 meV per atom
Formation energy without anion corrections   3.20 eV/f.u.
Theoretical density   3930 kg/m³
DOS(E_F)   2.9 states/eV/f.u.

The structure in POSCAR format:
```
MnSN2
1.0
-4.727 -1.242 0.241
1.255 -4.491 1.482
-1.865 -1.628 4.725
S Mn N
2 2 4
direct
0.500 0.500 0.000
0.250 0.750 0.500
0.000 0.000 0.000
0.750 0.250 0.500
0.714 0.125 0.250
0.036 0.625 0.250
0.375 0.286 0.750
0.875 0.964 0.750
```

=====

# 22
Compound: MnS2N
Source: Alexandria via LeMat-Bulk
Functional: PBE
Structure: optimized geometry

Properties
E   -6.205 eV/atom
E above lowest polymorph   285.3 meV per atom
Formation energy without anion corrections   0.93 eV/f.u.
Theoretical density   3464 kg/m³
DOS(E_F)   2.7 states/eV/f.u.

The structure in POSCAR format:
```
MnS2N
1.0
-2.936 1.185 -0.070
-1.662 0.274 2.682
1.201 7.242 1.804
Mn S N
1 2 1
direct
0.663 0.363 0.075
0.167 0.858 0.565
0.079 0.774 0.828
0.307 0.008 0.143
```

=====

# 23
Compound: MnS2N
Source: Alexandria via LeMat-Bulk
Functional: PBE
Structure: optimized geometry

Properties
E   -6.213 eV/atom
E above lowest polymorph   278.1 meV per atom
Formation energy without anion corrections   0.90 eV/f.u.
Theoretical density   2967 kg/m³
DOS(E_F)   2.4 states/eV/f.u.

The structure in POSCAR format:
```
MnS2N
1.0
3.418 0.000 -0.002
0.000 3.012 0.000
-3.215 0.000 14.470
Mn S N
2 4 2
direct
0.201 0.000 0.982
0.201 0.500 0.482
0.917 0.000 0.210
0.917 0.500 0.710
0.790 0.000 0.077
0.790 0.500 0.577
0.146 0.000 0.425
0.146 0.500 0.925
```

=====

# 24
Compound: Mn4S3N2
Source: Alexandria via LeMat-Bulk
Functional: PBE
Structure: optimized geometry

Properties
E   -7.596 eV/atom
Formation energy without anion corrections   -2.65 eV/f.u.
Theoretical density   4495 kg/m³
DOS(E_F)   5.5 states/eV/f.u.

The structure in POSCAR format:
```
Mn4S3N2
1.0
1.666 5.701 -0.014
-1.666 5.701 -0.014
0.000 5.224 6.676
Mn S N
4 3 2
direct
0.221 0.221 0.655
0.779 0.779 0.345
0.574 0.574 0.137
0.426 0.426 0.863
0.000 0.000 0.000
0.817 0.817 0.778
0.183 0.183 0.222
0.366 0.366 0.372
0.634 0.634 0.628
```

=====

# 25
Compound: MnS2N
Source: Alexandria via LeMat-Bulk
Functional: PBE
Structure: optimized geometry

Properties
E   -6.415 eV/atom
E above lowest polymorph   75.9 meV per atom
Formation energy without anion corrections   0.09 eV/f.u.
Theoretical density   3113 kg/m³
DOS(E_F)   1.5 states/eV/f.u.

The structure in POSCAR format:
```
MnS2N
1.0
3.494 0.000 -0.005
0.000 2.908 0.000
-0.517 0.000 6.988
Mn S N
1 2 1
direct
0.346 0.000 0.889
0.008 0.000 0.589
0.373 0.500 0.116
0.830 0.000 0.794
```

=====

# 26
Compound: MnS2N
Source: Alexandria via LeMat-Bulk
Functional: PBE
Structure: optimized geometry

Properties
E   -6.398 eV/atom
E above lowest polymorph   93.2 meV per atom
Formation energy without anion corrections   0.16 eV/f.u.
Theoretical density   3159 kg/m³
DOS(E_F)   1.3 states/eV/f.u.

The structure in POSCAR format:
```
MnS2N
1.0
3.300 0.004 0.083
-0.641 3.543 -0.014
-1.228 -0.989 5.949
Mn S N
1 2 1
direct
0.843 0.462 0.184
0.541 0.768 0.446
0.231 0.394 0.929
0.774 0.991 0.274
```

=====

# 27
Compound: MnSN2
Source: Alexandria via LeMat-Bulk
Functional: PBE
Structure: optimized geometry

Properties
E   -6.494 eV/atom
E above lowest polymorph   590.5 meV per atom
Formation energy without anion corrections   3.97 eV/f.u.
Theoretical density   4617 kg/m³
DOS(E_F)   1.9 states/eV/f.u.

The structure in POSCAR format:
```
MnSN2
1.0
-0.368 1.733 5.839
2.346 0.903 5.560
1.562 3.518 4.735
S Mn N
1 1 2
direct
0.500 0.500 0.500
0.000 0.000 0.000
0.892 0.892 0.892
0.108 0.108 0.108
```

=====

# 28
Compound: MnSN
Source: Alexandria via LeMat-Bulk
Functional: PBE
Structure: optimized geometry

Properties
E   -7.181 eV/atom
E above lowest polymorph   295.3 meV per atom
Formation energy without anion corrections   0.08 eV/f.u.
Theoretical density   4426 kg/m³
DOS(E_F)   1.5 states/eV/f.u.

The structure in POSCAR format:
```
MnSN
1.0
-2.298 -0.934 1.808
1.663 -2.059 -1.555
2.945 -0.321 3.576
Mn S N
1 1 1
direct
0.333 0.667 0.000
0.333 0.667 0.500
0.000 0.000 0.000
```